Entry 1:
Crystalline TbCd5 at its relaxed geometry, computed with PBE.

Cell: 4.695 4.617 6.900 Å, 109.55 90.00 90.00°
Positions (direct):
Cd 0.000 0.325 0.651
Cd 0.500 0.166 0.333
Cd 0.500 0.834 0.667
Cd 0.000 0.675 0.349
Cd 0.500 0.500 0.000
Tb 0.000 0.000 0.000

Output
For the formation energy from the elements, the calculation gives -0.184 eV per atom. The total magnetization is 0.00 μB/f.u. The density of states at the Fermi level comes out at 0.48 states/eV/atom. Its symmetry is Cmmm (65). The density is 8.494 g/cm3. Its electronic total energy is -1.7180 eV per atom.


Entry 2:
Crystalline Tb5Cd at its relaxed geometry, computed with PBE.

Cell: 4.873 4.876 7.931 Å, 107.90 90.00 90.00°
Positions (direct):
Tb 0.500 0.500 0.000
Tb 0.500 0.169 0.337
Tb 0.000 0.663 0.326
Tb 0.000 0.337 0.674
Tb 0.500 0.831 0.663
Cd 0.000 0.000 0.000

Output
For the formation energy from the elements, the calculation gives -0.056 eV per atom. The total magnetization is 0.00 μB/f.u. The density of states at the Fermi level comes out at 1.13 states/eV/atom. As for the excess energy over the best structure of this formula in the dataset: 0.0174 eV per atom. Its symmetry is Cmmm (65). The density is 8.399 g/cm3. Its electronic total energy is -4.0674 eV per atom.


Entry 3:
Crystalline Tb6Cd5 at its relaxed geometry, computed with PBE.

Cell: 5.223 7.570 8.224 Å, 90.00 71.49 90.00°
Positions (direct):
Tb 0.161 0.755 0.678
Tb 0.161 0.245 0.678
Tb 0.500 0.757 0.000
Tb 0.839 0.245 0.322
Tb 0.839 0.755 0.322
Tb 0.500 0.243 0.000
Cd 0.331 0.500 0.339
Cd 0.000 0.500 0.000
Cd 0.669 0.500 0.661
Cd 0.327 0.000 0.345
Cd 0.673 0.000 0.655

Output
For the formation energy from the elements, the calculation gives -0.211 eV per atom. The total magnetization is 0.01 μB/f.u. The density of states at the Fermi level comes out at 1.24 states/eV/atom. Its symmetry is Cmmm (65). The density is 8.162 g/cm3. Its electronic total energy is -3.1529 eV per atom.


Entry 4:
Crystalline Tb8Cd at its relaxed geometry, computed with PBE.

Cell: 7.846 7.863 7.863 Å, 143.18 95.72 95.72°
Positions (direct):
Tb 0.667 0.999 0.667
Tb 0.671 0.335 0.335
Tb 0.333 0.001 0.333
Tb 0.000 0.664 0.336
Tb 0.329 0.665 0.665
Tb 0.667 0.667 0.999
Tb 0.000 0.336 0.664
Tb 0.333 0.333 0.001
Cd 0.000 0.000 0.000

Output
For the formation energy from the elements, the calculation gives -0.015 eV per atom. The total magnetization is 0.00 μB/f.u. The density of states at the Fermi level comes out at 1.52 states/eV/atom. As for the excess energy over the best structure of this formula in the dataset: 0.0000 eV per atom. Its symmetry is Fmmm (69). The density is 8.329 g/cm3. Its electronic total energy is -4.2325 eV per atom.